1.
Computed, not measured: crystalline CoNiMoN2 at its relaxed geometry at the PBE-GGA level of DFT.

abc: 3.5023 3.5023 5.0954
angles: 90.00 90.00 90.00
With the nearest neighbours (Å) after each atom.
Element x y z (fractional)
1 Co 0.0000 0.0000 0.0000  4 N 1.75
2 Ni 0.5000 0.5000 0.5000  4 Mo 2.48
3 Mo 0.0000 0.0000 0.5000  4 Ni 2.48, 2 Co 2.55
4 N 0.0000 0.5000 0.0000  2 Co 1.75
5 N 0.5000 0.0000 0.0000  2 Co 1.75

Calculated values
**Spin magnetization**: 0.47 μB/f.u.
**DOS(E_F)**: 6.13 states/eV/cell
**Raw total energy**: -6.571 eV per atom

=====

2.
Computed, not measured: crystalline YCu2W at its relaxed geometry at the PBE-GGA level of DFT.

abc: 3.0149 4.1822 5.5454
angles: 90.00 105.66 90.00
With the nearest neighbours (Å) after each atom.
Element x y z (fractional)
1 Y 0.0000 0.0000 0.0000  7 Cu 2.77-2.98, 2 Y 3.01
2 Cu 0.6064 0.5000 0.2153  2 Cu 2.53, 2 W 2.70-2.71, 4 Y 2.82
3 Cu 0.7393 0.0000 0.4814  2 Cu 2.53, 4 W 2.71, 1 Y 2.77
4 W 0.3176 0.5000 0.6364  6 Cu 2.70-2.71, 2 W 3.01

Calculated values
**Spin magnetization**: 0.00 μB/f.u.
**DOS(E_F)**: 3.51 states/eV/cell
**Energy of formation from the pure elements**: 0.32 eV per atom
**Energy above the most stable polymorph in this dataset**: 29 meV per atom
**Raw total energy**: -6.578 eV per atom